Material: PuScAlCd
Method: DFT, PBE
State: optimized geometry

The space group is F-43m (No. 216) and the conventional cell measures 7.1847, 7.1847 and 7.1847 Å, with angles of 90.00, 90.00 and 90.00 degrees. Symmetry generates all atoms from Pu at (0.0000, 0.0000, 0.0000), Sc at (0.0000, 0.0000, 0.5000), Al at (0.2500, 0.2500, 0.7500) and Cd at (0.2500, 0.2500, 0.2500).

The calculation puts the formation enthalpy at 0 K at -0.14 eV per atom. The calculation puts the uncorrected energy at -103.50 eV per cell.



Material: Tl5SnAu6
Method: DFT, PBE
State: optimized geometry

The space group is C2/m (No. 12) and the conventional cell measures 7.1915, 13.7430 and 6.7002 Å, with angles of 90.00, 113.97 and 90.00 degrees. Symmetry generates all atoms from Tl at (0.0000, 0.0000, 0.0000), Tl at (0.0000, 0.1370, 0.5000), Tl at (0.0000, 0.3043, 0.0000), Sn at (0.0000, 0.5000, 0.5000), Au at (0.1877, 0.5000, 0.1924) and Au at (0.2087, 0.3317, 0.7021).

The calculation puts the formation enthalpy at 0 K at -0.02 eV per atom. The calculation puts the uncorrected energy at -71.46 eV per cell.



Material: LaMn3Ru
Method: DFT, PBE
State: optimized geometry

The space group is Pm-3m (No. 221) and the conventional cell measures 4.5688, 4.5688 and 4.5688 Å, with angles of 90.00, 90.00 and 90.00 degrees. Symmetry generates all atoms from La at (0.0000, 0.0000, 0.0000), Mn at (0.0000, 0.0000, 0.5000) and Ru at (0.5000, 0.5000, 0.5000).

The calculation puts the formation enthalpy at 0 K at 1.94 eV per atom. The calculation puts the uncorrected energy at -32.00 eV per cell.



Material: FeAs4W
Method: DFT, PBE
State: optimized geometry

The space group is F-43m (No. 216) and the conventional cell measures 7.5153, 7.5153 and 7.5153 Å, with angles of 90.00, 90.00 and 90.00 degrees. Symmetry generates all atoms from Fe at (0.0000, 0.0000, 0.0000), As at (0.1246, 0.1246, 0.3754) and W at (0.2500, 0.2500, 0.7500).

The calculation puts the formation enthalpy at 0 K at 1.08 eV per atom. The calculation puts the uncorrected energy at -134.22 eV per cell.



Material: EuGe2Mo
Method: DFT, PBE
State: optimized geometry

The space group is P4/mmm (No. 123) and the conventional cell measures 3.3276, 3.3276 and 7.0094 Å, with angles of 90.00, 90.00 and 90.00 degrees. Symmetry generates all atoms from Eu at (0.0000, 0.0000, 0.0000), Ge at (0.5000, 0.5000, 0.3061) and Mo at (0.0000, 0.0000, 0.5000).

The calculation puts the formation enthalpy at 0 K at -0.25 eV per atom. The calculation puts the uncorrected energy at -31.33 eV per cell.



Material: ReTcCl
Method: DFT, PBE
State: optimized geometry

The space group is F-43m (No. 216) and the conventional cell measures 5.9591, 5.9591 and 5.9591 Å, with angles of 90.00, 90.00 and 90.00 degrees. Symmetry generates all atoms from Re at (0.0000, 0.0000, 0.0000), Tc at (0.2500, 0.2500, 0.7500) and Cl at (0.2500, 0.2500, 0.2500).

As for the energy relative to the elements, uncorrected: 1.07 eV/atom. The calculation puts the uncorrected energy at -85.76 eV per cell.



Material: AcTb2NdTl4
Method: DFT, PBE
State: optimized geometry

The space group is R-3m (No. 166, hexagonal axes) and the conventional cell measures 5.5451, 5.5451 and 27.2375 Å, with angles of 90.00, 90.00 and 120.00 degrees. Symmetry generates all atoms from Ac at (0.0000, 0.0000, 0.0000), Tb at (0.0000, 0.0000, 0.2493), Nd at (0.0000, 0.0000, 0.5000), Tl at (0.0000, 0.0000, 0.1273) and Tl at (0.0000, 0.0000, 0.3780).

The calculation puts the formation enthalpy at 0 K at -0.34 eV per atom. The calculation puts the uncorrected energy at -90.94 eV per cell.



Material: ZrCrGe
Method: DFT, PBE
State: optimized geometry

The space group is Cm (No. 8) and the conventional cell measures 9.8299, 3.9520 and 5.3588 Å, with angles of 90.00, 98.50 and 90.00 degrees. Symmetry generates all atoms from Zr at (0.0000, 0.0000, 0.0000), Zr at (0.1081, 0.5000, 0.5246), Cr at (0.2128, 0.5000, 0.0734), Cr at (0.2851, 0.0000, 0.2766), Ge at (0.2762, 0.0000, 0.7956) and Ge at (0.4080, 0.5000, 0.4633).

The calculation puts the formation enthalpy at 0 K at -0.27 eV per atom. The calculation puts the uncorrected energy at -94.44 eV per cell.



Material: AlIn2Si
Method: DFT, PBE
State: optimized geometry

The space group is Pmmm (No. 47) and the conventional cell measures 3.4603, 3.9047 and 6.4261 Å, with angles of 90.00, 90.00 and 90.00 degrees. Symmetry generates all atoms from Al at (0.0000, 0.0000, 0.0000), In at (0.5000, 0.5000, 0.2582) and Si at (0.0000, 0.0000, 0.5000).

As for the energy relative to the elements, uncorrected: 0.34 eV/atom. The calculation puts the uncorrected energy at -13.28 eV per cell.



Material: CsBaFeH6
Method: DFT, PBE
State: optimized geometry

The space group is Cm (No. 8) and the conventional cell measures 9.5490, 5.5158 and 5.5079 Å, with angles of 90.00, 90.05 and 90.00 degrees. Symmetry generates all atoms from Cs at (0.0000, 0.0000, 0.0000), Ba at (0.3336, 0.0000, 0.5286), Fe at (0.1669, 0.5000, 0.3544), H at (0.0250, 0.5000, 0.1949), H at (0.0956, 0.2857, 0.5121), H at (0.2376, 0.2874, 0.1950) and H at (0.3098, 0.5000, 0.5116).

The calculation puts the uncorrected energy at -66.37 eV per cell.



Material: Na2VH
Method: DFT, PBE
State: optimized geometry

The space group is Fm-3m (No. 225) and the conventional cell measures 7.1795, 7.1795 and 7.1795 Å, with angles of 90.00, 90.00 and 90.00 degrees. Symmetry generates all atoms from Na at (0.2500, 0.2500, 0.2500), V at (0.0000, 0.0000, 0.0000) and H at (0.0000, 0.0000, 0.5000).

The calculation puts the uncorrected energy at -41.76 eV per cell.



Material: La5InAu
Method: DFT, PBE
State: optimized geometry

The space group is C2/c (No. 15) and the conventional cell measures 11.1622, 7.1587 and 12.1263 Å, with angles of 90.00, 105.46 and 90.00 degrees. Symmetry generates all atoms from La at (0.0000, 0.0311, 0.2500), La at (0.1394, 0.3672, 0.0571), La at (0.2292, 0.1804, 0.6476), In at (0.0000, 0.4453, 0.7500) and Au at (0.0000, 0.0000, 0.0000).

The calculation puts the formation enthalpy at 0 K at -0.25 eV per atom. The calculation puts the uncorrected energy at -129.66 eV per cell.



Material: LiGa3Ni2
Method: DFT, PBE
State: optimized geometry

The space group is P6/mmm (No. 191) and the conventional cell measures 5.9670, 5.9670 and 3.3058 Å, with angles of 90.00, 90.00 and 120.00 degrees. Symmetry generates all atoms from Li at (0.0000, 0.0000, 0.0000), Ga at (0.0000, 0.5000, 0.0000) and Ni at (0.3333, 0.6667, 0.5000).

The calculation puts the formation enthalpy at 0 K at -0.13 eV per atom. The calculation puts the uncorrected energy at -23.34 eV per cell.



Material: SnBPd2Br
Method: DFT, PBE
State: optimized geometry

The space group is P4/mmm (No. 123) and the conventional cell measures 5.0022, 5.0022 and 5.7838 Å, with angles of 90.00, 90.00 and 90.00 degrees. Symmetry generates all atoms from Sn at (0.0000, 0.0000, 0.0000), B at (0.5000, 0.5000, 0.5000), Pd at (0.0000, 0.5000, 0.0000) and Br at (0.0000, 0.0000, 0.5000).

As for the energy relative to the elements, uncorrected: 1.29 eV/atom. The calculation puts the uncorrected energy at -16.27 eV per cell.



Material: CuNi2Ru2
Method: DFT, PBE
State: optimized geometry

The space group is I4/mmm (No. 139) and the conventional cell measures 3.5207, 3.5207 and 11.3833 Å, with angles of 90.00, 90.00 and 90.00 degrees. Symmetry generates all atoms from Cu at (0.0000, 0.0000, 0.0000), Ni at (0.0000, 0.0000, 0.4038) and Ru at (0.0000, 0.5000, 0.2500).

The calculation puts the formation enthalpy at 0 K at 0.58 eV per atom. The calculation puts the uncorrected energy at -62.64 eV per cell.



Material: V2Co3B2
Method: DFT, PBE
State: optimized geometry

The space group is Cmmm (No. 65) and the conventional cell measures 2.9290, 15.4207 and 3.0602 Å, with angles of 90.00, 90.00 and 90.00 degrees. Symmetry generates all atoms from V at (0.0000, 0.1730, 0.0000), Co at (0.0000, 0.0000, 0.0000), Co at (0.0000, 0.4213, 0.5000) and B at (0.0000, 0.2807, 0.5000).

The calculation puts the formation enthalpy at 0 K at -0.40 eV per atom. The calculation puts the uncorrected energy at -111.46 eV per cell.